# BeTl3Ir | the Alexandria database | PBE | optimized geometry
data_BeTl3Ir
_symmetry_space_group_name_H-M 'P 1'
_symmetry_Int_Tables_number 1
_symmetry_space_group_name_Hall 'P 1'
_cell_length_a 5.311
_cell_length_b 5.311
_cell_length_c 5.311
_cell_angle_alpha 90.00
_cell_angle_beta 90.00
_cell_angle_gamma 90.00
loop_
_atom_site_label
_atom_site_fract_x
_atom_site_fract_y
_atom_site_fract_z
_atom_site_occupancy
Be1 0.500 0.500 0.500 1
Tl1 0.000 0.500 0.000 1
Tl2 0.000 0.000 0.500 1
Tl3 0.500 0.000 0.000 1
Ir1 0.000 0.000 0.000 1
# M_tot (μB per formula unit): 0.0
# E_tot (eV per formula unit): -16.31
# E above lowest polymorph (meV/atom): 0
# Formation energy (eV/f.u.): 3.380
# Fermi-level density of states (states/eV per cell): 1.9